Entry 1:
Below is an optimized crystal structure of Th6RuPt3Rh2, with properties calculated at the GGA-PBE level.

Cell: 4.1315 8.3379 9.2889 Å, 103.42 102.85 90.00°
Positions (direct):
Pt 0.5000 0.5000 0.0000
Pt 0.1687 0.8333 0.3375
Pt 0.8313 0.1667 0.6625
Th 0.9992 0.7598 0.9983
Th 0.3379 0.9131 0.6758
Ru 0.5000 0.0000 0.0000
Th 0.0008 0.2402 0.0017
Th 0.6621 0.0869 0.3242
Rh 0.8326 0.6638 0.6651
Th 0.3315 0.4211 0.6630
Rh 0.1674 0.3362 0.3349
Th 0.6685 0.5789 0.3370

## Properties
Energy: -0.60452 Ry/atom
Energy of formation from the pure elements: -1.007 eV per atom
Crystal system: monoclinic

=====

Entry 2:
Below is an optimized crystal structure of LiTl2HgRh, with properties calculated at the GGA-PBE level.

Cell: 5.2905 5.2905 4.8064 Å, 90.00 90.00 90.00°
Positions (direct):
Rh 0.0000 0.0000 0.0000
Hg 0.5000 0.5000 0.5000
Tl 0.5000 0.0000 0.0000
Li 0.0000 0.0000 0.5000
Tl 0.0000 0.5000 0.0000

## Properties
Energy: -0.21041 Ry/atom
Energy of formation from the pure elements: -0.003 eV per atom
Crystal system: tetragonal

=====

Entry 3:
Below is an optimized crystal structure of MgFeHgGe2, with properties calculated at the GGA-PBE level.

Cell: 4.4931 4.4931 5.1210 Å, 90.00 90.00 90.00°
Positions (direct):
Hg 0.5000 0.5000 0.5000
Ge 0.5000 0.0000 0.0000
Fe 0.0000 0.0000 0.0000
Mg 0.0000 0.0000 0.5000
Ge 0.0000 0.5000 0.0000

## Properties
Energy: -0.28576 Ry/atom
Energy of formation from the pure elements: 0.031 eV per atom
Crystal system: tetragonal

=====

Entry 4:
Below is an optimized crystal structure of AcLuAg2, with properties calculated at the GGA-PBE level.

Cell: 3.7357 5.3655 5.3655 Å, 90.00 90.00 90.00°
Positions (direct):
Ag 0.0000 0.5000 0.0000
Lu 0.5000 0.5000 0.5000
Ag 0.0000 0.0000 0.5000
Ac 0.5000 0.0000 0.0000

## Properties
Energy: -0.27924 Ry/atom
Energy of formation from the pure elements: -0.216 eV per atom
Crystal system: tetragonal
Excess energy over the best structure of this formula in the dataset: 0.065 eV/atom

=====

| no. | DOS at the Fermi energy (states/eV per cell) |
| --- | --- |
| 1 | 5.31 |
| 2 | 1.24 |
| 3 | 1.15 |
| 4 | 2.85 |